# 1
{
  "formula": "Tb2PmScSe6",
  "functional": "GGA-PBE",
  "state": "optimized geometry",
  "cell": [[3.590, 2.072, 6.445], [-3.590, 2.072, 6.445], [0.000, -4.145, 6.445]],
  "species": ["Tb", "Tb", "Pm", "Sc", "Se", "Se", "Se", "Se", "Se", "Se"],
  "fractional_positions": [[0.000, 0.000, 0.000], [0.495, 0.495, 0.495], [0.197, 0.197, 0.197], [0.691, 0.691, 0.691], [0.076, 0.420, 0.791], [0.303, 0.892, 0.603], [0.420, 0.791, 0.076], [0.603, 0.303, 0.892], [0.791, 0.076, 0.420], [0.892, 0.603, 0.303]],
  "spacegroup": "R3",
  "raw_formation_energy_ev_per_atom": -1.79,
  "volume_a3_per_cell": 288,
  "dos_at_fermi_per_ev_fu": 0.00,
  "density_g_cm3": 5.666,
  "crystal_system": "trigonal"
}

# 2
{
  "formula": "Np2NiAs4Ir3",
  "functional": "GGA-PBE",
  "state": "optimized geometry",
  "cell": [[4.255, 0.000, 0.000], [0.000, 4.255, 0.000], [0.000, 0.000, 9.947]],
  "species": ["Np", "Np", "Ni", "As", "As", "As", "As", "Ir", "Ir", "Ir"],
  "fractional_positions": [[0.000, 0.500, 0.245], [0.500, 0.000, 0.755], [0.500, 0.500, 0.000], [0.000, 0.000, 0.500], [0.000, 0.500, 0.869], [0.500, 0.000, 0.131], [0.500, 0.500, 0.500], [0.000, 0.000, 0.000], [0.000, 0.500, 0.626], [0.500, 0.000, 0.374]],
  "spacegroup": "P-4m2",
  "volume_a3_per_cell": 180,
  "dos_at_fermi_per_ev_fu": 22.88,
  "density_g_cm3": 12.992,
  "crystal_system": "tetragonal",
  "delta_e_f_mev_per_atom": -387
}

# 3
{
  "formula": "TlTeP2Os",
  "functional": "GGA-PBE",
  "state": "optimized geometry",
  "cell": [[4.875, 0.000, 0.000], [0.000, 4.875, 0.000], [0.000, 0.000, 5.576]],
  "species": ["Tl", "Te", "P", "P", "Os"],
  "fractional_positions": [[0.000, 0.000, 0.000], [0.000, 0.000, 0.500], [0.000, 0.500, 0.000], [0.500, 0.000, 0.000], [0.500, 0.500, 0.500]],
  "spacegroup": "P4/mmm",
  "raw_formation_energy_ev_per_atom": 2.33,
  "volume_a3_per_cell": 133,
  "dos_at_fermi_per_ev_fu": 5.64,
  "density_g_cm3": 7.321,
  "crystal_system": "tetragonal"
}